[1]
## SmEuNi2 (PBE)

Data for a relaxed SmEuNi2 crystal.

Geometry as CIF:
```
data_SmEuNi2
_chemical_formula_sum 'Sm1 Eu1 Ni2'
_symmetry_space_group_name_H-M 'P 4/m m m'
_symmetry_Int_Tables_number 123
_symmetry_space_group_name_Hall '-P 4 2'
_cell_length_a 4.8976
_cell_length_b 4.8976
_cell_length_c 3.4583
_cell_angle_alpha 90.00
_cell_angle_beta 90.00
_cell_angle_gamma 90.00
loop_
_atom_site_label
_atom_site_type_symbol
_atom_site_fract_x
_atom_site_fract_y
_atom_site_fract_z
Sm1 Sm 0.0000 0.0000 0.0000
Eu1 Eu 0.5000 0.5000 0.0000
Ni1 Ni 0.0000 0.5000 0.5000
```

total DFT energy (no corrections) = -27.2 eV for the cell shown



[2]
## EuNi4Sn (PBE)

Data for a relaxed EuNi4Sn crystal.

Geometry as CIF:
```
data_EuNi4Sn
_chemical_formula_sum 'Eu4 Ni16 Sn4'
_symmetry_space_group_name_H-M 'F -4 3 m'
_symmetry_Int_Tables_number 216
_symmetry_space_group_name_Hall 'F -4 2 3'
_cell_length_a 7.1302
_cell_length_b 7.1302
_cell_length_c 7.1302
_cell_angle_alpha 90.00
_cell_angle_beta 90.00
_cell_angle_gamma 90.00
loop_
_atom_site_label
_atom_site_type_symbol
_atom_site_fract_x
_atom_site_fract_y
_atom_site_fract_z
Eu1 Eu 0.0000 0.0000 0.0000
Ni1 Ni 0.1240 0.1240 0.6240
Sn1 Sn 0.2500 0.2500 0.2500
```

total DFT energy (no corrections) = -154.7 eV for the cell shown



[3]
## Eu3NiSn (PBE)

Data for a relaxed Eu3NiSn crystal.

Geometry as CIF:
```
data_Eu3NiSn
_chemical_formula_sum 'Eu3 Ni1 Sn1'
_symmetry_space_group_name_H-M 'P m -3 m'
_symmetry_Int_Tables_number 221
_symmetry_space_group_name_Hall '-P 4 2 3'
_cell_length_a 5.4036
_cell_length_b 5.4036
_cell_length_c 5.4036
_cell_angle_alpha 90.00
_cell_angle_beta 90.00
_cell_angle_gamma 90.00
loop_
_atom_site_label
_atom_site_type_symbol
_atom_site_fract_x
_atom_site_fract_y
_atom_site_fract_z
Eu1 Eu 0.0000 0.0000 0.5000
Ni1 Ni 0.0000 0.0000 0.0000
Sn1 Sn 0.5000 0.5000 0.5000
```

total DFT energy (no corrections) = -41.9 eV for the cell shown